Entry 1:
VASP calculation (PBEsol) on crystalline Tc2MoSe at its relaxed geometry.

a = 2.889 Å, b = 4.023 Å, c = 5.065 Å
α = 90.00°, β = 90.00°, γ = 90.00°
Fractional coordinates of all 4 atoms:
Mo 0.000 0.000 0.499
Se 0.500 0.500 0.748
Tc 0.000 0.000 0.013
Tc 0.500 0.500 0.240

=====

Entry 2:
VASP calculation (PBEsol) on crystalline TeMoSe2 at its relaxed geometry.

a = 3.263 Å, b = 5.375 Å, c = 5.455 Å
α = 119.49°, β = 90.00°, γ = 90.00°
Fractional coordinates of all 4 atoms:
Mo 0.500 0.500 0.500
Se 0.000 0.299 0.099
Se 0.000 0.701 0.901
Te 0.500 0.000 0.500

=====

Entry 3:
VASP calculation (PBEsol) on crystalline TeMoSe2 at its relaxed geometry.

a = 3.055 Å, b = 5.986 Å, c = 6.367 Å
α = 115.32°, β = 103.88°, γ = 90.00°
Fractional coordinates of all 4 atoms:
Mo 0.744 0.112 0.489
Se 0.092 0.133 0.184
Se 0.245 0.789 0.491
Te 0.418 0.465 0.836

=====

Entry 4:
VASP calculation (PBEsol) on crystalline TeMoSe2 at its relaxed geometry.

a = 4.725 Å, b = 4.725 Å, c = 4.725 Å
α = 60.00°, β = 60.00°, γ = 60.00°
Fractional coordinates of all 4 atoms:
Mo 0.500 0.500 0.500
Se 0.000 0.000 0.000
Se 0.750 0.750 0.750
Te 0.250 0.250 0.250

=====

Entry 5:
VASP calculation (PBEsol) on crystalline TeMoSe at its relaxed geometry.

Values from the calculation:
Energy relative to the lowest polymorph listed for this composition in meV per atom: 0.3

a = 3.375 Å, b = 3.375 Å, c = 27.025 Å
α = 90.00°, β = 90.00°, γ = 120.00°
Fractional coordinates of all 12 atoms:
Te 0.667 0.333 0.563
Te 0.333 0.667 0.437
Te 0.333 0.667 0.300
Te 0.667 0.333 0.700
Mo 0.667 0.333 0.368
Mo 0.667 0.333 0.881
Mo 0.333 0.667 0.119
Mo 0.333 0.667 0.632
Se 0.667 0.333 0.058
Se 0.333 0.667 0.942
Se 0.333 0.667 0.821
Se 0.667 0.333 0.179

=====

Entry 6:
VASP calculation (PBEsol) on crystalline TeMoSe2 at its relaxed geometry.

a = 3.366 Å, b = 3.366 Å, c = 7.106 Å
α = 90.00°, β = 90.00°, γ = 90.00°
Fractional coordinates of all 4 atoms:
Mo 0.500 0.500 0.796
Se 0.000 0.000 0.975
Se 0.500 0.500 0.176
Te 0.000 0.000 0.554

=====

Entry 7:
VASP calculation (PBEsol) on crystalline TeMo2Se at its relaxed geometry.

a = 4.540 Å, b = 4.540 Å, c = 4.540 Å
α = 60.00°, β = 60.00°, γ = 60.00°
Fractional coordinates of all 4 atoms:
Mo 0.250 0.250 0.250
Mo 0.750 0.750 0.750
Se 0.000 0.000 0.000
Te 0.500 0.500 0.500

=====

Entry 8:
VASP calculation (PBEsol) on crystalline TeMoSe2 at its relaxed geometry.

a = 3.251 Å, b = 4.796 Å, c = 4.796 Å
α = 90.00°, β = 90.00°, γ = 90.00°
Site moments in Bohr magnetons follow the coordinates.
Fractional coordinates of all 4 atoms:
Mo 0.500 0.000 0.000  0.83
Se 0.000 0.000 0.500  -0.02
Se 0.000 0.500 0.000  -0.02
Te 0.500 0.500 0.500  -0.03

=====

Entry 9:
VASP calculation (PBEsol) on crystalline TeMoSe at its relaxed geometry.

Values from the calculation:
Energy relative to the lowest polymorph listed for this composition in meV per atom: 0.0

a = 3.374 Å, b = 3.374 Å, c = 13.514 Å
α = 90.00°, β = 90.00°, γ = 120.00°
Fractional coordinates of all 6 atoms:
Mo 0.667 0.333 0.949
Mo 0.333 0.667 0.449
Te 0.667 0.333 0.312
Te 0.667 0.333 0.586
Se 0.333 0.667 0.070
Se 0.333 0.667 0.829

=====

Entry 10:
VASP calculation (PBEsol) on crystalline TeMoSe2 at its relaxed geometry.

a = 3.226 Å, b = 3.226 Å, c = 9.878 Å
α = 80.60°, β = 80.60°, γ = 59.98°
Fractional coordinates of all 4 atoms:
Mo 0.500 0.500 0.000
Se 0.226 0.226 0.823
Se 0.774 0.774 0.177
Te 0.000 0.000 0.500

=====

Entry 11:
VASP calculation (PBEsol) on crystalline TeMoSe at its relaxed geometry.

Values from the calculation:
Energy relative to the lowest polymorph listed for this composition in meV per atom: 586.7

a = 4.537 Å, b = 4.537 Å, c = 4.537 Å
α = 60.00°, β = 60.00°, γ = 60.00°
Site moments in Bohr magnetons follow the coordinates.
Fractional coordinates of all 3 atoms:
Mo 0.250 0.250 0.250  1.40
Te 0.500 0.500 0.500  -0.02
Se 0.000 0.000 0.000  0.00

=====

Entry 12:
VASP calculation (PBEsol) on crystalline Te2MoWSe2 at its relaxed geometry.

a = 3.373 Å, b = 3.373 Å, c = 27.166 Å
α = 90.00°, β = 90.00°, γ = 120.00°
Fractional coordinates of all 12 atoms:
Te 0.667 0.333 0.062
Te 0.333 0.667 0.938
Te 0.333 0.667 0.801
Te 0.667 0.333 0.199
Mo 0.667 0.333 0.870
Mo 0.333 0.667 0.130
W 0.667 0.333 0.380
W 0.333 0.667 0.620
Se 0.667 0.333 0.559
Se 0.333 0.667 0.441
Se 0.333 0.667 0.320
Se 0.667 0.333 0.680

=====

| no. | total magnetization (μB per cell) | uncorrected energy (eV per atom) | formation energy from raw total energies (eV per atom) |
| --- | --- | --- | --- |
| 1 | 0.000 | -9.311 | 0.226 |
| 2 | 0.000 | -5.930 | -0.182 |
| 3 | 0.000 | -5.933 | -0.184 |
| 4 | 0.000 | -5.291 | 0.458 |
| 5 | 0.000 | -6.854 | -0.473 |
| 6 | 0.000 | -5.663 | 0.086 |
| 7 | 0.001 | -7.564 | 0.164 |
| 8 | 0.832 | -5.234 | 0.514 |
| 9 | 0.000 | -6.854 | -0.473 |
| 10 | 0.000 | -6.037 | -0.288 |
| 11 | 1.581 | -6.268 | 0.114 |
| 12 | 0.000 | -7.130 | -0.409 |